Entry 1:
A relaxed La2DyEr crystal, computed with PBE.

a = 3.711 Å, b = 3.711 Å, c = 9.881 Å
α = 90.00°, β = 90.00°, γ = 90.00°
Fractional positions:
La 0.000 0.000 0.249
La 0.000 0.000 0.751
Dy 0.500 0.500 0.500
Er 0.500 0.500 0.000

Output
The calculation puts the density of states at the Fermi level at 6.69 states/eV/f.u. As for the energy above the most stable polymorph in this dataset: 0.0047 eV/atom. As for the formation energy: 2.5 kJ per mole of atoms. The space group is P4/mmm.

Entry 2:
A relaxed CsTlO crystal, computed with PBE.

a = 6.882 Å, b = 6.142 Å, c = 10.528 Å
α = 90.00°, β = 106.24°, γ = 90.00°
Fractional positions:
Cs 0.104 0.234 0.147
Cs 0.104 0.266 0.647
Cs 0.896 0.734 0.353
Cs 0.896 0.766 0.853
Tl 0.445 0.737 0.557
Tl 0.445 0.763 0.057
Tl 0.555 0.237 0.943
Tl 0.555 0.263 0.443
O 0.265 0.048 0.932
O 0.265 0.452 0.432
O 0.735 0.548 0.568
O 0.735 0.952 0.068

Output
The value obtained for the total energy is -3.607 eV per atom. The space group is P2_1/c.

Entry 3:
A relaxed Sm4Ho4Er crystal, computed with PBE.

a = 8.822 Å, b = 8.822 Å, c = 6.815 Å
α = 111.72°, β = 111.72°, γ = 36.74°
Fractional positions:
Sm 0.133 0.133 0.461
Sm 0.281 0.281 0.213
Sm 0.719 0.719 0.787
Sm 0.867 0.867 0.539
Ho 0.073 0.073 0.878
Ho 0.373 0.373 0.818
Ho 0.627 0.627 0.182
Ho 0.927 0.927 0.122
Er 0.500 0.500 0.500

Output
The calculation puts the density of states at the Fermi level at 15.18 states/eV/f.u. As for the energy above the most stable polymorph in this dataset: 0.0877 eV/atom. As for the formation energy: 10.4 kJ per mole of atoms. The space group is C2/m.

Entry 4:
A relaxed AcTlP2 crystal, computed with PBE.

a = 5.212 Å, b = 5.212 Å, c = 5.212 Å
α = 60.00°, β = 60.00°, γ = 60.00°
Fractional positions:
Ac 0.000 0.000 0.000
Tl 0.500 0.500 0.500
P 0.250 0.250 0.250
P 0.750 0.750 0.750

Output
The calculation puts the density of states at the Fermi level at 4.78 states/eV/f.u. As for the energy above the most stable polymorph in this dataset: 0.2167 eV/atom. As for the formation energy: -29.3 kJ per mole of atoms. The space group is Fm-3m.

Entry 5:
A relaxed CsScCl3 crystal, computed with PBE.

a = 6.125 Å, b = 6.125 Å, c = 6.125 Å
α = 90.00°, β = 90.00°, γ = 90.00°
Fractional positions:
Cs 0.000 0.000 0.000
Sc 0.500 0.500 0.500
Cl 0.000 0.000 0.500
Cl 0.000 0.500 0.000
Cl 0.500 0.000 0.000

Output
The calculation puts the density of states at the Fermi level at 9.04 states/eV/f.u. The value obtained for the total energy is -2.931 eV per atom. The space group is Pm-3m.

Entry 6:
A relaxed Cs4Pm3ZrS8 crystal, computed with PBE.

a = 9.381 Å, b = 9.381 Å, c = 9.381 Å
α = 52.08°, β = 52.08°, γ = 52.08°
Fractional positions:
Cs 0.000 0.000 0.000
Cs 0.000 0.500 0.500
Cs 0.500 0.000 0.500
Cs 0.500 0.500 0.000
Pm 0.000 0.000 0.500
Pm 0.000 0.500 0.000
Pm 0.500 0.000 0.000
Zr 0.500 0.500 0.500
S 0.230 0.230 0.230
S 0.247 0.717 0.717
S 0.283 0.283 0.753
S 0.283 0.753 0.283
S 0.717 0.247 0.717
S 0.717 0.717 0.247
S 0.753 0.283 0.283
S 0.770 0.770 0.770

Output
The calculation puts the density of states at the Fermi level at 4.93 states/eV/f.u. The value obtained for the total energy is -5.398 eV per atom. The space group is R-3m.

Entry 7:
A relaxed Th6Rh5Au crystal, computed with PBE.

a = 7.166 Å, b = 7.166 Å, c = 7.167 Å
α = 99.57°, β = 99.57°, γ = 119.48°
Fractional positions:
Th 0.065 0.413 0.741
Th 0.234 0.234 0.252
Th 0.413 0.065 0.741
Th 0.587 0.935 0.259
Th 0.766 0.766 0.748
Th 0.935 0.587 0.259
Rh 0.000 0.000 0.500
Rh 0.169 0.831 0.000
Rh 0.340 0.660 0.500
Rh 0.660 0.340 0.500
Rh 0.831 0.169 0.000
Au 0.500 0.500 0.000

Output
The calculation puts the density of states at the Fermi level at 6.11 states/eV/f.u. As for the formation energy: -83.1 kJ per mole of atoms. The space group is C2/m.

Entry 8:
A relaxed BaLi2Tc2O7 crystal, computed with PBE.

a = 9.565 Å, b = 9.565 Å, c = 9.565 Å
α = 156.35°, β = 156.35°, γ = 33.69°
Fractional positions:
Ba 0.000 0.000 0.000
Li 0.250 0.750 0.500
Li 0.750 0.250 0.500
Tc 0.383 0.383 0.000
Tc 0.617 0.617 0.000
O 0.113 0.613 0.500
O 0.280 0.280 0.000
O 0.387 0.887 0.500
O 0.500 0.500 0.000
O 0.613 0.113 0.500
O 0.720 0.720 0.000
O 0.887 0.387 0.500

Output
The calculation puts the density of states at the Fermi level at 5.88 states/eV/f.u. The value obtained for the total energy is -6.930 eV per atom. The space group is I4/mmm.

Entry 9:
A relaxed RbSnGe2Cl8 crystal, computed with PBE.

a = 6.566 Å, b = 6.839 Å, c = 9.218 Å
α = 86.32°, β = 88.20°, γ = 84.40°
Fractional positions:
Rb 0.000 0.000 0.000
Sn 0.000 0.000 0.500
Ge 0.445 0.454 0.274
Ge 0.555 0.546 0.726
Cl 0.215 0.801 0.302
Cl 0.241 0.827 0.706
Cl 0.255 0.298 0.468
Cl 0.287 0.354 0.078
Cl 0.713 0.646 0.922
Cl 0.745 0.702 0.532
Cl 0.759 0.173 0.294
Cl 0.785 0.199 0.698

Output
The calculation puts the density of states at the Fermi level at 3.37 states/eV/f.u. The value obtained for the total energy is -3.426 eV per atom. The space group is P-1.

Entry 10:
A relaxed Hf2BiPbC crystal, computed with PBE.

a = 5.383 Å, b = 5.383 Å, c = 5.753 Å
α = 90.00°, β = 90.00°, γ = 90.00°
Fractional positions:
Hf 0.000 0.500 0.000
Hf 0.500 0.000 0.000
Bi 0.000 0.000 0.500
Pb 0.000 0.000 0.000
C 0.500 0.500 0.500

Output
The calculation puts the density of states at the Fermi level at 6.87 states/eV/f.u. As for the formation energy: 256.8 kJ per mole of atoms. The space group is P4/mmm.

Entry 11:
A relaxed Ta7Nb2Pt2 crystal, computed with PBE.

a = 5.529 Å, b = 5.529 Å, c = 7.418 Å
α = 90.21°, β = 90.21°, γ = 117.21°
Fractional positions:
Ta 0.000 0.000 0.000
Ta 0.086 0.578 0.173
Ta 0.418 0.418 0.811
Ta 0.422 0.914 0.827
Ta 0.578 0.086 0.173
Ta 0.582 0.582 0.189
Ta 0.914 0.422 0.827
Nb 0.166 0.166 0.392
Nb 0.834 0.834 0.608
Pt 0.292 0.708 0.500
Pt 0.708 0.292 0.500

Output
The calculation puts the density of states at the Fermi level at 11.17 states/eV/f.u. As for the formation energy: -0.9 kJ per mole of atoms. The space group is C2/m.

Entry 12:
A relaxed CaEuZnSi crystal, computed with PBE.

a = 5.174 Å, b = 5.174 Å, c = 5.174 Å
α = 60.00°, β = 60.00°, γ = 60.00°
Fractional positions:
Ca 0.000 0.000 0.000
Eu 0.500 0.500 0.500
Zn 0.250 0.250 0.250
Si 0.750 0.750 0.750

Output
The calculation puts the density of states at the Fermi level at 1.11 states/eV/f.u. The value obtained for the total energy is -5.116 eV per atom. The space group is F-43m.

Entry 13:
A relaxed Zr7Pd2N2 crystal, computed with PBE.

a = 6.197 Å, b = 6.197 Å, c = 5.769 Å
α = 93.47°, β = 93.47°, γ = 67.44°
Fractional positions:
Zr 0.000 0.000 0.000
Zr 0.066 0.511 0.764
Zr 0.435 0.435 0.218
Zr 0.489 0.934 0.236
Zr 0.511 0.066 0.764
Zr 0.565 0.565 0.782
Zr 0.934 0.489 0.236
Pd 0.186 0.814 0.500
Pd 0.814 0.186 0.500
N 0.228 0.228 0.025
N 0.772 0.772 0.975

Output
The calculation puts the density of states at the Fermi level at 10.25 states/eV/f.u. The value obtained for the total energy is -8.538 eV per atom. The space group is C2/m.

Entry 14:
A relaxed LaMgI3 crystal, computed with PBE.

a = 6.316 Å, b = 6.316 Å, c = 6.316 Å
α = 90.00°, β = 90.00°, γ = 90.00°
Fractional positions:
La 0.000 0.000 0.000
Mg 0.500 0.500 0.500
I 0.000 0.000 0.500
I 0.000 0.500 0.000
I 0.500 0.000 0.000

Output
The calculation puts the density of states at the Fermi level at 0.00 states/eV/f.u. As for the energy above the most stable polymorph in this dataset: 0.0000 eV/atom. The space group is Pm-3m.

Entry 15:
A relaxed B5C7 crystal, computed with PBE.

a = 2.447 Å, b = 2.525 Å, c = 12.642 Å
α = 90.00°, β = 90.00°, γ = 90.00°
Fractional positions:
B 0.000 0.000 0.000
B 0.000 0.000 0.312
B 0.000 0.500 0.685
B 0.500 0.000 0.894
B 0.500 0.500 0.792
C 0.000 0.000 0.605
C 0.000 0.500 0.080
C 0.000 0.500 0.392
C 0.500 0.000 0.221
C 0.500 0.000 0.537
C 0.500 0.500 0.152
C 0.500 0.500 0.461

Output
The calculation puts the density of states at the Fermi level at 1.26 states/eV/f.u. As for the energy above the most stable polymorph in this dataset: 0.0694 eV/atom. As for the formation energy: 31.6 kJ per mole of atoms. The space group is Pmm2.

Entry 16:
A relaxed KP4N7 crystal, computed with PBE.

a = 12.258 Å, b = 4.999 Å, c = 4.704 Å
α = 90.00°, β = 90.00°, γ = 90.00°
Fractional positions:
K 0.000 0.213 0.000
K 0.500 0.787 0.500
P 0.119 0.674 0.507
P 0.248 0.822 0.979
P 0.252 0.178 0.479
P 0.381 0.326 0.007
P 0.619 0.326 0.007
P 0.748 0.178 0.479
P 0.752 0.822 0.979
P 0.881 0.674 0.507
N 0.000 0.746 0.395
N 0.134 0.753 0.836
N 0.149 0.367 0.438
N 0.214 0.878 0.333
N 0.286 0.122 0.833
N 0.351 0.633 0.938
N 0.366 0.247 0.336
N 0.500 0.254 0.895
N 0.634 0.247 0.336
N 0.649 0.633 0.938
N 0.714 0.122 0.833
N 0.786 0.878 0.333
N 0.851 0.367 0.438
N 0.866 0.753 0.836

Output
The calculation puts the density of states at the Fermi level at 0.00 states/eV/f.u. As for the energy above the most stable polymorph in this dataset: 0.0031 eV/atom. The space group is Pmn2_1.

Entry 17:
A relaxed Nd5Ho3Se8 crystal, computed with PBE.

a = 8.396 Å, b = 8.396 Å, c = 8.396 Å
α = 59.07°, β = 59.07°, γ = 59.07°
Fractional positions:
Nd 0.000 0.000 0.000
Nd 0.000 0.500 0.500
Nd 0.500 0.000 0.500
Nd 0.500 0.500 0.000
Nd 0.500 0.500 0.500
Ho 0.000 0.000 0.500
Ho 0.000 0.500 0.000
Ho 0.500 0.000 0.000
Se 0.238 0.750 0.750
Se 0.244 0.244 0.244
Se 0.250 0.250 0.762
Se 0.250 0.762 0.250
Se 0.750 0.238 0.750
Se 0.750 0.750 0.238
Se 0.756 0.756 0.756
Se 0.762 0.250 0.250

Output
The calculation puts the density of states at the Fermi level at 9.66 states/eV/f.u. The value obtained for the total energy is -5.882 eV per atom. The space group is R-3m.

Entry 18:
A relaxed Nd2Dy3Se6 crystal, computed with PBE.

a = 7.122 Å, b = 7.122 Å, c = 7.176 Å
α = 99.56°, β = 99.56°, γ = 119.76°
Fractional positions:
Nd 0.165 0.835 0.000
Nd 0.835 0.165 0.000
Dy 0.000 0.000 0.500
Dy 0.334 0.666 0.500
Dy 0.666 0.334 0.500
Se 0.086 0.414 0.741
Se 0.260 0.260 0.255
Se 0.414 0.086 0.741
Se 0.586 0.914 0.259
Se 0.740 0.740 0.745
Se 0.914 0.586 0.259

Output
The calculation puts the density of states at the Fermi level at 4.50 states/eV/f.u. The value obtained for the total energy is -5.899 eV per atom. The space group is C2/m.

Entry 19:
A relaxed Li2NdAlH8 crystal, computed with PBE.

a = 4.401 Å, b = 4.440 Å, c = 5.832 Å
α = 89.50°, β = 72.07°, γ = 86.10°
Fractional positions:
Li 0.090 0.484 0.244
Li 0.910 0.516 0.756
Nd 0.500 0.000 0.500
Al 0.000 0.000 0.000
H 0.082 0.032 0.285
H 0.226 0.285 0.865
H 0.283 0.515 0.473
H 0.332 0.766 0.875
H 0.668 0.234 0.125
H 0.717 0.485 0.527
H 0.774 0.715 0.135
H 0.918 0.968 0.715

Output
The value obtained for the total energy is -3.555 eV per atom. The space group is P-1.

Entry 20:
A relaxed La6PrDyTh2 crystal, computed with PBE.

a = 8.805 Å, b = 8.805 Å, c = 10.712 Å
α = 97.44°, β = 97.44°, γ = 117.54°
Fractional positions:
La 0.011 0.562 0.169
La 0.106 0.740 0.544
La 0.260 0.894 0.956
La 0.314 0.509 0.384
La 0.438 0.989 0.331
La 0.491 0.686 0.116
La 0.509 0.314 0.884
La 0.562 0.011 0.669
La 0.686 0.491 0.616
La 0.740 0.106 0.044
La 0.894 0.260 0.456
La 0.989 0.438 0.831
Pr 0.009 0.991 0.250
Pr 0.991 0.009 0.750
Dy 0.402 0.598 0.750
Dy 0.598 0.402 0.250
Th 0.183 0.264 0.045
Th 0.264 0.183 0.545
Th 0.736 0.817 0.455
Th 0.817 0.736 0.955

Output
The calculation puts the density of states at the Fermi level at 15.88 states/eV/f.u. As for the formation energy: 13.0 kJ per mole of atoms. The space group is C2/c.